Computed, not measured: a relaxed CsCoI2O crystal at the PBE with a Hubbard U level of DFT.

Results
E above lowest polymorph in meV/atom: 998
E_tot in eV/f.u.: -12.43
SG: No. 123
Calculated density in g cm⁻³: 5.0

Unit cell a=5.209 b=5.596 c=5.209 alpha=90.00 beta=90.00 gamma=90.00
Last column: magnetic moment on the atom in μB.
Fractional coordinates of all 5 atoms:
Cs  0.000  0.500  0.000  0.00
I  0.000  0.000  0.500  0.01
I  0.500  0.000  0.000  0.02
Co  0.500  0.500  0.500  2.06
O  0.000  0.000  0.000  0.00